MoPRu | the Alexandria database | meta-GGA SCAN | PBEsol geometry; M_tot = 0.01 μB per cell; space group = P-62m (189); density of states at the Fermi level = 8.46 states/eV per cell; E_tot = -27.206 eV/atom; polymorph energy (0 for the lowest one) = 39 meV/atom; ΔH_f (0 K) = -0.5025 eV per atom
1.0
6.001 0.000 0.000
-3.001 5.197 0.000
0.000 0.000 3.834
Mo P Ru
3 3 3
direct
0.000 0.408 0.000
0.408 0.000 0.000
0.592 0.592 0.000
0.000 0.000 0.000
0.333 0.667 0.500
0.667 0.333 0.500
0.000 0.740 0.500
0.260 0.260 0.500
0.740 0.000 0.500

=====

BeFeCl3 | the Alexandria database | meta-GGA SCAN | PBEsol geometry; M_tot = 3.42 μB per cell; space group = Pm-3m (221); density of states at the Fermi level = 5.74 states/eV per cell; E_tot = -9.679 eV/atom; formation energy (no corrections) = -0.3952 eV/atom
1.0
4.415 0.000 0.000
0.000 4.415 0.000
0.000 0.000 4.415
Be Fe Cl
1 1 3
direct
0.000 0.000 0.000
0.500 0.500 0.500
0.000 0.000 0.500
0.000 0.500 0.000
0.500 0.000 0.000